# 1
# Cs4Na (PBE, relaxed)
# Raw total energy, eV per atom: -0.931
# Energy of formation from the pure elements, meV per atom: 15
# Fermi-level density of states, states/eV/f.u.: 4.6
# Energy above the most stable polymorph in this dataset, eV per atom: 0.000
data_Cs4Na
_cell_length_a 10.646
_cell_length_b 21.668
_cell_length_c 8.530
_cell_angle_alpha 90.00
_cell_angle_beta 90.00
_cell_angle_gamma 90.00
_symmetry_space_group_name_H-M 'I b a m'
_symmetry_Int_Tables_number 72
_symmetry_space_group_name_Hall '-I 2 2c'
loop_
_atom_site_label
_atom_site_type_symbol
_atom_site_fract_x
_atom_site_fract_y
_atom_site_fract_z
_atom_site_occupancy
Cs1 Cs 0.147 0.178 0.000 1
Cs2 Cs 0.165 0.418 0.000 1
Na1 Na 0.000 0.000 0.250 1

---

# 2
# Cs3Na11 (PBE, relaxed)
# Raw total energy, eV per atom: -1.189
# Energy of formation from the pure elements, meV per atom: 30
# Fermi-level density of states, states/eV/f.u.: 6.8
data_Cs3Na11
_cell_length_a 6.108
_cell_length_b 13.226
_cell_length_c 17.918
_cell_angle_alpha 90.00
_cell_angle_beta 90.00
_cell_angle_gamma 90.00
_symmetry_space_group_name_H-M 'I m m m'
_symmetry_Int_Tables_number 71
_symmetry_space_group_name_Hall '-I 2 2'
loop_
_atom_site_label
_atom_site_type_symbol
_atom_site_fract_x
_atom_site_fract_y
_atom_site_fract_z
_atom_site_occupancy
Cs1 Cs 0.000 0.000 0.000 1
Cs2 Cs 0.000 0.000 0.303 1
Na1 Na 0.000 0.199 0.500 1
Na2 Na 0.000 0.282 0.121 1
Na3 Na 0.000 0.347 0.325 1
Na4 Na 0.000 0.500 0.000 1

---

# 3
# Cs13Na2 (PBE, relaxed)
# Raw total energy, eV per atom: -0.871
# Energy of formation from the pure elements, meV per atom: 45
# Fermi-level density of states, states/eV/f.u.: 16.0
# Energy above the most stable polymorph in this dataset, eV per atom: 0.030
data_Cs13Na2
_cell_length_a 13.7761
_cell_length_b 13.7761
_cell_length_c 29.5425
_cell_angle_alpha 90.00
_cell_angle_beta 90.00
_cell_angle_gamma 120.00
_symmetry_space_group_name_H-M 'R -3 m'
_symmetry_Int_Tables_number 166
_symmetry_space_group_name_Hall '-R 3 2"'
loop_
_atom_site_label
_atom_site_type_symbol
_atom_site_fract_x
_atom_site_fract_y
_atom_site_fract_z
_atom_site_occupancy
Cs1 Cs 0.0000 0.0000 0.0000 1
Cs2 Cs 0.0720 0.5360 0.2385 1
Cs3 Cs 0.0821 0.5410 0.4166 1
Na1 Na 0.0000 0.0000 0.1394 1

---

# 4
# Cs6Na (PBE, relaxed)
# Raw total energy, eV per atom: -0.563
# Energy of formation from the pure elements, meV per atom: 357
# Fermi-level density of states, states/eV/f.u.: 9.7
# Energy above the most stable polymorph in this dataset, eV per atom: 0.323
data_Cs6Na
_cell_length_a 13.375
_cell_length_b 13.375
_cell_length_c 13.375
_cell_angle_alpha 90.00
_cell_angle_beta 90.00
_cell_angle_gamma 90.00
_symmetry_space_group_name_H-M 'I m -3 m'
_symmetry_Int_Tables_number 229
_symmetry_space_group_name_Hall '-I 4 2 3'
loop_
_atom_site_label
_atom_site_type_symbol
_atom_site_fract_x
_atom_site_fract_y
_atom_site_fract_z
_atom_site_occupancy
Cs1 Cs 0.000 0.250 0.500 1
Na1 Na 0.000 0.000 0.000 1

---

# 5
# CsNa5 (PBE, relaxed)
# Raw total energy, eV per atom: -1.217
# Energy of formation from the pure elements, meV per atom: 24
# Fermi-level density of states, states/eV/f.u.: 2.9
# Energy above the most stable polymorph in this dataset, eV per atom: 0.000
data_CsNa5
_cell_length_a 10.401
_cell_length_b 10.401
_cell_length_c 10.401
_cell_angle_alpha 90.00
_cell_angle_beta 90.00
_cell_angle_gamma 90.00
_symmetry_space_group_name_H-M 'F -4 3 m'
_symmetry_Int_Tables_number 216
_symmetry_space_group_name_Hall 'F -4 2 3'
loop_
_atom_site_label
_atom_site_type_symbol
_atom_site_fract_x
_atom_site_fract_y
_atom_site_fract_z
_atom_site_occupancy
Cs1 Cs 0.000 0.000 0.000 1
Na1 Na 0.123 0.123 0.623 1
Na2 Na 0.250 0.250 0.250 1

---

# 6
# Cs4Na (PBE, relaxed)
# Raw total energy, eV per atom: -0.891
# Energy of formation from the pure elements, meV per atom: 56
# Fermi-level density of states, states/eV/f.u.: 4.6
# Energy above the most stable polymorph in this dataset, eV per atom: 0.041
data_Cs4Na
_cell_length_a 8.195
_cell_length_b 8.195
_cell_length_c 8.195
_cell_angle_alpha 90.00
_cell_angle_beta 90.00
_cell_angle_gamma 90.00
_symmetry_space_group_name_H-M 'P m -3 m'
_symmetry_Int_Tables_number 221
_symmetry_space_group_name_Hall '-P 4 2 3'
loop_
_atom_site_label
_atom_site_type_symbol
_atom_site_fract_x
_atom_site_fract_y
_atom_site_fract_z
_atom_site_occupancy
Cs1 Cs 0.000 0.000 0.000 1
Cs2 Cs 0.000 0.500 0.500 1
Na1 Na 0.500 0.500 0.500 1

---

Question: energy of formation from the pure elements of number 6 (Cs4Na)?
Answer: 56 meV per atom

---

Question: Among the records above, which one has the highest raw total energy?
Answer: Cs6Na

---

Question: Which of these has the lowest energy of formation from the pure elements?
Answer: number 1